VASP calculation (PBE) on a relaxed PmPSe crystal. Values from VASP.

Results
Raw formation energy = -4.3 eV per formula unit
Final energy = -71.65 eV for the cell shown
DOS at the Fermi energy = 0.3 states/eV/f.u.
Energy above the most stable polymorph in this dataset = 24.7 meV per atom

The structure in Quantum ESPRESSO input format:
```
&SYSTEM
  ibrav = 0, nat = 12, ntyp = 3
/
ATOMIC_SPECIES
Pm 145.00 Pm.upf
P 30.97 P.upf
Se 78.96 Se.upf
CELL_PARAMETERS angstrom
3.839 0.000 0.000
0.000 7.368 0.000
0.000 0.000 9.621
ATOMIC_POSITIONS angstrom
Pm 0.960 5.266 1.534
Pm 2.879 2.102 8.087
Pm 0.960 1.582 3.277
Pm 2.879 5.787 6.345
P 2.879 3.066 5.165
P 0.960 0.618 0.354
P 2.879 6.750 9.267
P 0.960 4.302 4.457
Se 0.960 0.691 6.264
Se 2.879 2.993 1.454
Se 0.960 4.375 8.168
Se 2.879 6.678 3.357
```